Entry 1:
A plane-wave DFT calculation with PBE was carried out for crystalline SrTmPb2 at its relaxed geometry.

Geometry as POSCAR:
```
SrTmPb2
1.0
5.265 0.000 0.000
0.000 5.265 0.000
0.000 0.000 4.464
Sr Tm Pb
1 1 2
direct
0.000 0.000 0.000 Sr
0.500 0.500 0.000 Tm
0.000 0.500 0.500 Pb
0.500 0.000 0.500 Pb
```

Entry 2:
A plane-wave DFT calculation with PBE was carried out for crystalline SrTm8Pb6 at its relaxed geometry.

Geometry as POSCAR:
```
SrTm8Pb6
1.0
4.570 2.639 6.535
-4.570 2.639 6.535
0.000 -5.277 6.535
Sr Tm Pb
1 8 6
direct
0.000 0.000 0.000 Sr
0.105 0.775 0.434 Tm
0.225 0.566 0.895 Tm
0.333 0.333 0.333 Tm
0.434 0.105 0.775 Tm
0.566 0.895 0.225 Tm
0.667 0.667 0.667 Tm
0.775 0.434 0.105 Tm
0.895 0.225 0.566 Tm
0.071 0.413 0.728 Pb
0.272 0.929 0.587 Pb
0.413 0.728 0.071 Pb
0.587 0.272 0.929 Pb
0.728 0.071 0.413 Pb
0.929 0.587 0.272 Pb
```

Entry 3:
A plane-wave DFT calculation with PBE was carried out for crystalline Sr3TmPb4 at its relaxed geometry.

Geometry as POSCAR:
```
Sr3TmPb4
1.0
4.023 0.000 0.000
0.000 4.023 0.000
0.000 0.000 16.586
Sr Tm Pb
3 1 4
direct
0.000 0.000 0.000 Sr
0.000 0.000 0.265 Sr
0.000 0.000 0.735 Sr
0.000 0.000 0.500 Tm
0.500 0.500 0.136 Pb
0.500 0.500 0.401 Pb
0.500 0.500 0.599 Pb
0.500 0.500 0.864 Pb
```

Entry 4:
A plane-wave DFT calculation with PBE was carried out for crystalline Sr5TmPb6 at its relaxed geometry.

Geometry as POSCAR:
```
Sr5TmPb6
1.0
8.907 -3.793 0.000
8.907 3.793 0.000
-0.922 0.000 5.955
Sr Tm Pb
5 1 6
direct
0.000 0.000 0.000 Sr
0.165 0.165 0.677 Sr
0.319 0.319 0.292 Sr
0.681 0.681 0.708 Sr
0.835 0.835 0.323 Sr
0.500 0.500 0.000 Tm
0.120 0.573 0.809 Pb
0.281 0.719 0.500 Pb
0.427 0.880 0.191 Pb
0.573 0.120 0.809 Pb
0.719 0.281 0.500 Pb
0.880 0.427 0.191 Pb
```

Entry 5:
A plane-wave DFT calculation with PBE was carried out for crystalline Sr4TmPb5 at its relaxed geometry.

Geometry as POSCAR:
```
Sr4TmPb5
1.0
4.009 0.000 0.000
0.000 4.009 0.000
0.000 0.000 21.055
Sr Tm Pb
4 1 5
direct
0.000 0.000 0.106 Sr
0.000 0.000 0.314 Sr
0.000 0.000 0.686 Sr
0.000 0.000 0.894 Sr
0.000 0.000 0.500 Tm
0.500 0.500 0.000 Pb
0.500 0.500 0.213 Pb
0.500 0.500 0.421 Pb
0.500 0.500 0.579 Pb
0.500 0.500 0.787 Pb
```

Entry 6:
A plane-wave DFT calculation with PBE was carried out for crystalline SrTm2Pb3 at its relaxed geometry.

Geometry as POSCAR:
```
SrTm2Pb3
1.0
4.024 0.000 0.000
0.000 4.024 0.000
0.000 0.000 11.205
Sr Tm Pb
1 2 3
direct
0.000 0.000 0.000 Sr
0.000 0.000 0.344 Tm
0.000 0.000 0.656 Tm
0.500 0.500 0.194 Pb
0.500 0.500 0.500 Pb
0.500 0.500 0.806 Pb
```

Entry 7:
A plane-wave DFT calculation with PBE was carried out for crystalline SrTm4Pb5 at its relaxed geometry.

Geometry as POSCAR:
```
SrTm4Pb5
1.0
3.551 0.000 0.000
0.000 3.551 0.000
0.000 0.000 22.626
Sr Tm Pb
1 4 5
direct
0.000 0.000 0.000 Sr
0.000 0.000 0.208 Tm
0.000 0.000 0.403 Tm
0.000 0.000 0.597 Tm
0.000 0.000 0.792 Tm
0.500 0.500 0.111 Pb
0.500 0.500 0.305 Pb
0.500 0.500 0.500 Pb
0.500 0.500 0.695 Pb
0.500 0.500 0.889 Pb
```

Entry 8:
A plane-wave DFT calculation with PBE was carried out for crystalline SrV3Pb at its relaxed geometry.

Geometry as POSCAR:
```
SrV3Pb
1.0
5.320 0.000 0.000
0.000 5.320 0.000
0.000 0.000 5.320
Sr V Pb
1 3 1
direct
0.000 0.000 0.000 Sr
0.000 0.500 0.500 V
0.500 0.000 0.500 V
0.500 0.500 0.000 V
0.500 0.500 0.500 Pb
```

Entry 9:
A plane-wave DFT calculation with PBE was carried out for crystalline SrV3Pb at its relaxed geometry.

Geometry as POSCAR:
```
SrV3Pb
1.0
4.715 0.000 0.000
0.000 4.715 0.000
0.000 0.000 4.715
Sr V Pb
1 3 1
direct
0.000 0.000 0.000 Sr
0.000 0.000 0.500 V
0.000 0.500 0.000 V
0.500 0.000 0.000 V
0.500 0.500 0.500 Pb
```

Entry 10:
A plane-wave DFT calculation with PBE was carried out for crystalline SrYVPb2 at its relaxed geometry.

Geometry as POSCAR:
```
SrYVPb2
1.0
5.867 0.000 0.000
0.000 5.867 0.000
0.000 0.000 5.298
Sr Y V Pb
1 1 1 2
direct
0.000 0.000 0.000 Sr
0.500 0.500 0.500 Y
0.500 0.500 0.000 V
0.000 0.500 0.500 Pb
0.500 0.000 0.500 Pb
```

Entry 11:
A plane-wave DFT calculation with PBE was carried out for crystalline SrPbW2 at its relaxed geometry.

Geometry as POSCAR:
```
SrPbW2
1.0
-1.783 2.421 5.114
1.783 -2.421 5.114
1.783 2.421 -5.114
Sr Pb W
1 1 2
direct
0.000 0.000 0.000 Sr
0.500 0.500 0.000 Pb
0.261 0.761 0.500 W
0.739 0.239 0.500 W
```

Entry 12:
A plane-wave DFT calculation with PBE was carried out for crystalline SrPbW2 at its relaxed geometry.

Geometry as POSCAR:
```
SrPbW2
1.0
4.203 0.000 0.000
0.000 4.203 0.000
0.000 0.000 4.979
Sr Pb W
1 1 2
direct
0.000 0.000 0.000 Sr
0.500 0.500 0.000 Pb
0.000 0.500 0.500 W
0.500 0.000 0.500 W
```

Entry 13:
A plane-wave DFT calculation with PBE was carried out for crystalline SrPbW2 at its relaxed geometry.

Geometry as POSCAR:
```
SrPbW2
1.0
3.004 -5.116 0.000
3.004 5.116 0.000
0.000 0.000 2.878
Sr Pb W
1 1 2
direct
0.000 0.000 0.000 Sr
0.500 0.500 0.000 Pb
0.000 0.500 0.500 W
0.500 0.000 0.500 W
```

Entry 14:
A plane-wave DFT calculation with PBE was carried out for crystalline SrPbW2 at its relaxed geometry.

Geometry as POSCAR:
```
SrPbW2
1.0
3.374 0.000 0.000
0.000 3.374 0.000
0.000 0.000 8.405
Sr Pb W
1 1 2
direct
0.000 0.000 0.000 Sr
0.500 0.500 0.324 Pb
0.000 0.000 0.575 W
0.500 0.500 0.708 W
```

Entry 15:
A plane-wave DFT calculation with PBE was carried out for crystalline SrPbW2 at its relaxed geometry.

Geometry as POSCAR:
```
SrPbW2
1.0
3.004 0.000 0.000
0.000 5.412 0.000
-0.315 0.000 5.652
Sr Pb W
1 1 2
direct
0.000 0.000 0.000 Sr
0.500 0.000 0.500 Pb
0.355 0.500 0.791 W
0.645 0.500 0.209 W
```

Entry 16:
A plane-wave DFT calculation with PBE was carried out for crystalline SrPbW2 at its relaxed geometry.

Geometry as POSCAR:
```
SrPbW2
1.0
1.780 -2.405 0.000
1.780 2.405 0.000
0.000 0.000 10.177
Sr Pb W
1 1 2
direct
0.000 0.000 0.000 Sr
0.000 0.000 0.500 Pb
0.500 0.500 0.271 W
0.500 0.500 0.729 W
```

Entry 17:
A plane-wave DFT calculation with PBE was carried out for crystalline SrPbW2 at its relaxed geometry.

Geometry as POSCAR:
```
SrPbW2
1.0
-4.204 4.204 2.831
4.204 -4.204 2.831
4.204 4.204 -2.831
Sr Pb W
2 2 4
direct
0.000 0.000 0.000 Sr
0.750 0.250 0.500 Sr
0.250 0.750 0.500 Pb
0.500 0.500 0.000 Pb
0.168 0.125 0.543 W
0.375 0.832 0.957 W
0.582 0.625 0.457 W
0.875 0.418 0.043 W
```

Entry 18:
A plane-wave DFT calculation with PBE was carried out for crystalline SrPbW2 at its relaxed geometry.

Geometry as POSCAR:
```
SrPbW2
1.0
3.055 -5.357 0.000
3.055 5.357 0.000
-1.191 0.000 2.643
Sr Pb W
1 1 2
direct
0.000 0.000 0.000 Sr
0.500 0.500 0.000 Pb
0.000 0.500 0.500 W
0.500 0.000 0.500 W
```

Entry 19:
A plane-wave DFT calculation with PBE was carried out for crystalline SrPbW3 at its relaxed geometry.

Geometry as POSCAR:
```
SrPbW3
1.0
5.134 0.000 0.000
0.000 5.134 0.000
0.000 0.000 5.134
Sr Pb W
1 1 3
direct
0.000 0.000 0.000 Sr
0.500 0.500 0.500 Pb
0.000 0.500 0.500 W
0.500 0.000 0.500 W
0.500 0.500 0.000 W
```

Entry 20:
A plane-wave DFT calculation with PBE was carried out for crystalline SrPbW2 at its relaxed geometry.

Geometry as POSCAR:
```
SrPbW2
1.0
3.740 0.000 0.000
0.000 3.740 0.000
0.000 0.000 7.041
Sr Pb W
1 1 2
direct
0.000 0.000 0.000 Sr
0.000 0.000 0.500 Pb
0.500 0.500 0.329 W
0.500 0.500 0.671 W
```

| no. | formation enthalpy at 0 K (eV per atom) | calculated volume (A^3/atom) |
| --- | --- | --- |
| 1 | -0.366 | 30.94 |
| 2 | -0.296 | 31.52 |
| 3 | -0.482 | 33.55 |
| 4 | -0.504 | 33.53 |
| 5 | -0.487 | 33.85 |
| 6 | -0.396 | 30.24 |
| 7 | -0.397 | 28.53 |
| 8 | 1.261 | 30.12 |
| 9 | 2.281 | 20.97 |
| 10 | 0.526 | 36.47 |
| 11 | 1.289 | 22.08 |
| 12 | 1.280 | 21.99 |
| 13 | 1.366 | 22.12 |
| 14 | 0.477 | 23.91 |
| 15 | 1.097 | 22.97 |
| 16 | 1.318 | 21.78 |
| 17 | 1.739 | 25.02 |
| 18 | 1.230 | 21.63 |
| 19 | 2.662 | 27.06 |
| 20 | 1.139 | 24.62 |